No. 1
Entry from Alexandria via LeMat-Bulk: MgSc2Zn at its PBEsol-relaxed geometry (meta-GGA SCAN).

Cell and atoms, written as POSCAR:
```
MgSc2Zn
1.0
3.545 0.000 0.000
0.000 4.750 0.000
0.000 0.000 4.750
Sc Zn Mg
2 1 1
Cartesian
0.000 0.000 2.375
0.000 2.375 0.000
1.773 2.375 2.375
1.773 0.000 0.000
```

***

No. 2
Entry from Alexandria via LeMat-Bulk: MgSc2Zn at its PBEsol-relaxed geometry (meta-GGA SCAN).

Cell and atoms, written as POSCAR:
```
MgSc2Zn
1.0
-2.378 3.448 -0.684
-2.606 -2.283 -2.450
-0.003 -1.590 5.160
Sc Zn Mg
2 1 1
Cartesian
0.000 0.000 0.000
-2.437 1.220 1.454
-2.492 0.582 -1.567
-2.551 -1.646 0.571
```

***

| no. | formation energy from the elements (eV/atom) |
| --- | --- |
| 1 | -0.22 |
| 2 | -0.06 |